# 1
Here is an optimized crystal structure of PrEuDy2 from Alexandria. Energies are from GGA-PBE.

Values from the calculation:
- Size of the total moment: 1.87 μB/atom
- Space group: P4/mmm, No. 123
- Calculated density: 7.41 g/cm3
- Density of states at the Fermi level: 2.047 states/eV/atom
- Energy relative to the elements: 145 meV/atom

Unit cell a=3.874 b=5.980 c=5.980 alpha=90.00 beta=90.00 gamma=90.00
Fractional positions:
Pr 0.500 0.000 0.000
Eu 0.500 0.500 0.500
Dy 0.000 0.500 0.000
Dy 0.000 0.000 0.500


# 2
Here is an optimized crystal structure of PrEuDy2 from Alexandria. Energies are from GGA-PBE.

Values from the calculation:
- Size of the total moment: 1.79 μB/atom
- Space group: Fm-3m, No. 225
- Calculated density: 7.42 g/cm3
- Density of states at the Fermi level: 1.812 states/eV/atom
- Energy relative to the elements: 150 meV/atom

Unit cell a=5.805 b=5.805 c=5.805 alpha=60.00 beta=60.00 gamma=60.00
Fractional positions:
Pr 0.500 0.500 0.500
Dy 0.250 0.250 0.250
Dy 0.750 0.750 0.750
Eu 0.000 0.000 0.000


# 3
Here is an optimized crystal structure of Pr2EuDy from Alexandria. Energies are from GGA-PBE.

Values from the calculation:
- Size of the total moment: 1.77 μB/atom
- Space group: P4/mmm, No. 123
- Calculated density: 6.95 g/cm3
- Density of states at the Fermi level: 1.443 states/eV/atom
- Energy relative to the elements: 66 meV/atom

Unit cell a=5.186 b=5.240 c=5.240 alpha=90.00 beta=90.00 gamma=90.00
Fractional positions:
Dy 0.500 0.000 0.000
Eu 0.500 0.500 0.500
Pr 0.000 0.500 0.000
Pr 0.000 0.000 0.500


# 4
Here is an optimized crystal structure of PrEuDy2 from Alexandria. Energies are from GGA-PBE.

Values from the calculation:
- Size of the total moment: 1.92 μB/atom
- Space group: P4/mmm, No. 123
- Calculated density: 7.37 g/cm3
- Density of states at the Fermi level: 1.486 states/eV/atom
- Energy relative to the elements: 65 meV/atom

Unit cell a=3.674 b=3.674 c=10.307 alpha=90.00 beta=90.00 gamma=90.00
Fractional positions:
Eu 0.500 0.500 0.500
Pr 0.500 0.500 0.000
Dy 0.000 0.000 0.761
Dy 0.000 0.000 0.239